(1)
Computed, not measured: a geometry-optimized CuPd2AuN structure at the PBE level of DFT.

Cell: 4.211 4.211 3.871 Å, 90.00 90.00 90.00°
Atoms (fractional coordinates):
Pd1 0.000 0.500 0.000
Au1 0.500 0.500 0.500
N1 0.000 0.000 0.000
Cu1 0.000 0.000 0.500
Pd2 0.500 0.000 0.000

Summary:
**Energy relative to the elements, uncorrected**: 0.16 eV/atom
**Magnetic moment**: 0.0 μB/f.u.
**Total DFT energy (no corrections)**: -25.300 eV per cell

(2)
Computed, not measured: a geometry-optimized Y5Tl2Cu structure at the PBE level of DFT.

Cell: 4.962 6.863 12.798 Å, 90.00 90.00 90.00°
Atoms (fractional coordinates):
Y1 0.000 0.607 0.719
Y2 0.500 0.677 0.406
Cu1 0.000 0.000 0.000
Y3 0.000 0.000 0.500
Y4 0.000 0.500 0.000
Y5 0.500 0.823 0.906
Tl1 0.500 0.135 0.349
Y6 0.000 0.393 0.281
Tl2 0.500 0.635 0.151
Cu2 0.000 0.500 0.500
Y7 0.500 0.177 0.094
Tl3 0.500 0.865 0.651
Tl4 0.500 0.365 0.849
Y8 0.500 0.323 0.594
Y9 0.000 0.107 0.781
Y10 0.000 0.893 0.219

Summary:
**Magnetic moment**: 0.0 μB/f.u.
**Total DFT energy (no corrections)**: -86.698 eV per cell
**Formation energy from the elements**: -275.0 meV per atom

(3)
Computed, not measured: a geometry-optimized Al2ZnPt structure at the PBE level of DFT.

Cell: 2.854 2.854 7.554 Å, 90.00 90.00 89.94°
Atoms (fractional coordinates):
Zn1 0.500 0.500 0.750
Al1 0.000 0.000 0.013
Pt1 0.500 0.500 0.250
Al2 0.000 0.000 0.487

Summary:
**Magnetic moment**: 0.0 μB/f.u.
**Total DFT energy (no corrections)**: -16.436 eV per cell
**Formation energy from the elements**: -409.0 meV per atom

(4)
Computed, not measured: a geometry-optimized Tm6Cu2Ag structure at the PBE level of DFT.

Cell: 8.303 8.303 8.303 Å, 107.09 110.65 110.69°
Atoms (fractional coordinates):
Ag1 0.000 0.000 0.000
Tm1 0.193 0.756 0.949
Tm2 0.458 0.276 0.181
Tm3 0.807 0.756 0.564
Tm4 0.807 0.244 0.051
Cu1 0.500 0.621 0.121
Tm5 0.905 0.724 0.181
Tm6 0.300 0.623 0.324
Ag2 0.000 0.500 0.500
Tm7 0.193 0.244 0.436
Tm8 0.700 0.377 0.676
Cu2 0.500 0.379 0.879
Tm9 0.095 0.276 0.819
Tm10 0.700 0.024 0.324
Cu3 0.353 0.000 0.353
Cu4 0.647 0.000 0.647
Tm11 0.300 0.976 0.676
Tm12 0.542 0.724 0.819

Summary:
**Magnetic moment**: 0.0 μB/f.u.
**Total DFT energy (no corrections)**: -79.064 eV per cell
**Formation energy from the elements**: -184.4 meV per atom

(5)
Computed, not measured: a geometry-optimized RbCdBSe3 structure at the PBE level of DFT.

Cell: 3.754 7.918 11.491 Å, 90.00 90.00 103.71°
Atoms (fractional coordinates):
Se1 0.611 0.222 0.098
Cd1 0.000 0.000 0.500
Cd2 0.000 0.000 0.000
Se2 0.955 0.911 0.250
Rb1 0.263 0.526 0.250
Se3 0.045 0.089 0.750
B1 0.458 0.917 0.750
B2 0.542 0.083 0.250
Rb2 0.737 0.474 0.750
Se4 0.611 0.222 0.402
Se5 0.389 0.778 0.902
Se6 0.389 0.778 0.598

Summary:
**Energy relative to the elements, uncorrected**: -0.47 eV/atom
**Magnetic moment**: 0.0 μB/f.u.
**Total DFT energy (no corrections)**: -43.690 eV per cell

(6)
Computed, not measured: a geometry-optimized Dy2GaTe structure at the PBE level of DFT.

Cell: 4.030 4.030 8.314 Å, 75.97 75.97 60.00°
Atoms (fractional coordinates):
Ga1 0.499 0.499 0.502
Dy1 0.085 0.085 0.744
Dy2 0.248 0.248 0.257
Te1 0.668 0.668 0.996

Summary:
**Energy relative to the elements, uncorrected**: -0.79 eV/atom
**Magnetic moment**: 0.0 μB/f.u.
**ΔE to the lowest computed polymorph**: 0.222 eV per atom
**Total DFT energy (no corrections)**: -18.522 eV per cell

(7)
Computed, not measured: a geometry-optimized AlCoTe2 structure at the PBE level of DFT.

Cell: 6.050 6.050 7.361 Å, 65.74 65.74 90.00°
Last column: magnetic moment on the atom in μB.
Atoms (fractional coordinates):
Te1 0.644 0.125 0.250  0.05
Al1 0.250 0.750 0.500  0.00
Te2 0.106 0.625 0.250  0.05
Te3 0.375 0.356 0.750  0.05
Co1 0.000 0.000 0.000  1.70
Al2 0.500 0.500 0.000  0.00
Te4 0.875 0.894 0.750  0.05
Co2 0.750 0.250 0.500  1.71

Summary:
**Energy relative to the elements, uncorrected**: -0.08 eV/atom
**Magnetic moment**: 2.0 μB/f.u.
**Total DFT energy (no corrections)**: -34.942 eV per cell

(8)
Computed, not measured: a geometry-optimized TaTe2 structure at the PBE level of DFT.

Cell: 7.627 7.627 11.181 Å, 45.77 45.77 25.57°
Atoms (fractional coordinates):
Te1 0.843 0.843 0.629
Ta1 0.243 0.243 0.901
Te2 0.157 0.157 0.371
Te3 0.538 0.538 0.162
Te4 0.462 0.462 0.838
Ta2 0.757 0.757 0.099

Summary:
**Energy relative to the elements, uncorrected**: -0.22 eV/atom
**Magnetic moment**: 0.0 μB/f.u.
**Total DFT energy (no corrections)**: -37.580 eV per cell